HfPdAu after structural relaxation, computed with GGA-PBE.

Unit cell a=6.338 b=6.338 c=6.338 alpha=90.00 beta=90.00 gamma=90.00
Space group F-43m (No. 216)
Unique sites:
Hf 0.000 0.000 0.000
Pd 0.250 0.250 0.250
Au 0.250 0.250 0.750

Computed properties:
- Energy of formation: -81 kJ/mol of formula units


PaTlIn after structural relaxation, computed with GGA-PBE.

Unit cell a=7.133 b=7.133 c=7.133 alpha=90.00 beta=90.00 gamma=90.00
Space group F-43m (No. 216)
Unique sites:
Pa 0.000 0.000 0.000
Tl 0.250 0.250 0.750
In 0.000 0.000 0.500


NiBPtW after structural relaxation, computed with GGA-PBE.

Unit cell a=5.913 b=5.913 c=5.913 alpha=90.00 beta=90.00 gamma=90.00
Space group F-43m (No. 216)
Unique sites:
Ni 0.000 0.000 0.000
B 0.250 0.250 0.750
Pt 0.000 0.000 0.500
W 0.250 0.250 0.250


Result set for energy above the most stable polymorph in this dataset: 504.6; 0.0; 418.7 meV/atom, one per record in the order listed.
Result set for energy: -6.41; -4.31; -7.15 eV/atom, one per record in the order listed.
Result set for size of the total moment: 0.0004; 0.5100; 0.0005 μB per atom, one per record in the order listed.